No. 1
# Bi11PO20 PBE optimized geometry
# E_form (uncorrected) ... -3861 kJ/mol of formula units
# Uncorrected energy ... -5.85 eV/atom
# Size of the total moment ... 1.34 μB/f.u.
data_Bi11PO20
_cell_length_a 8.858
_cell_length_b 8.958
_cell_length_c 8.985
_cell_angle_alpha 107.59
_cell_angle_beta 111.31
_cell_angle_gamma 109.07
_space_group_name_H-M_alt 'P 1'
_space_group_IT_number 1
_space_group_name_Hall 'P 1'
loop_
_atom_site_label
_atom_site_type_symbol
_atom_site_fract_x
_atom_site_fract_y
_atom_site_fract_z
Bi1 Bi 0.000 0.000 0.000
Bi2 Bi 0.010 0.815 0.566
Bi3 Bi 0.161 0.352 0.503
Bi4 Bi 0.212 0.703 0.953
Bi5 Bi 0.348 0.032 0.437
Bi6 Bi 0.364 0.415 0.081
Bi7 Bi 0.505 0.057 0.879
Bi8 Bi 0.538 0.687 0.537
Bi9 Bi 0.674 0.509 0.880
Bi10 Bi 0.708 0.338 0.377
Bi11 Bi 0.723 0.905 0.225
P1 P 0.851 0.201 0.725
O1 O 0.045 0.229 0.757
O2 O 0.112 0.081 0.380
O3 O 0.118 0.840 0.105
O4 O 0.226 0.953 0.846
O5 O 0.251 0.421 0.325
O6 O 0.285 0.856 0.547
O7 O 0.335 0.653 0.180
O8 O 0.468 0.220 0.738
O9 O 0.491 0.939 0.094
O10 O 0.496 0.571 0.980
O11 O 0.508 0.477 0.621
O12 O 0.601 0.312 0.102
O13 O 0.619 0.570 0.355
O14 O 0.695 0.046 0.528
O15 O 0.747 0.846 0.982
O16 O 0.818 0.146 0.865
O17 O 0.845 0.379 0.748
O18 O 0.855 0.795 0.720
O19 O 0.857 0.197 0.303
O20 O 0.984 0.557 0.521



No. 2
# BiP2O6 PBE optimized geometry
# E_form (uncorrected) ... -1317 kJ/mol of formula units
# Uncorrected energy ... -6.46 eV/atom
# Size of the total moment ... 1.00 μB/f.u.
data_BiP2O6
_cell_length_a 5.9822
_cell_length_b 5.9822
_cell_length_c 5.6121
_cell_angle_alpha 90.00
_cell_angle_beta 90.00
_cell_angle_gamma 120.00
_space_group_name_H-M_alt 'P -3 m 1'
_space_group_IT_number 164
_space_group_name_Hall '-P 3 2"'
loop_
_atom_site_label
_atom_site_type_symbol
_atom_site_fract_x
_atom_site_fract_y
_atom_site_fract_z
Bi1 Bi 0.0000 0.0000 0.0000
P1 P 0.3333 0.6667 0.8132
O1 O 0.1887 0.3775 0.7642



No. 3
# BiP3O9 PBE optimized geometry
# E_form (uncorrected) ... -2514 kJ/mol of formula units
# Uncorrected energy ... -6.98 eV/atom
# Size of the total moment ... 0.00 μB/f.u.
data_BiP3O9
_cell_length_a 7.281
_cell_length_b 7.043
_cell_length_c 13.904
_cell_angle_alpha 90.00
_cell_angle_beta 93.15
_cell_angle_gamma 90.00
_space_group_name_H-M_alt 'P 1 21/c 1'
_space_group_IT_number 14
_space_group_name_Hall '-P 2ybc'
loop_
_atom_site_label
_atom_site_type_symbol
_atom_site_fract_x
_atom_site_fract_y
_atom_site_fract_z
Bi1 Bi 0.237 0.140 0.071
P1 P 0.241 0.688 0.366
P2 P 0.293 0.105 0.328
P3 P 0.295 0.613 0.159
O1 O 0.093 0.611 0.429
O2 O 0.194 0.593 0.848
O3 O 0.204 0.593 0.262
O4 O 0.206 0.032 0.592
O5 O 0.212 0.179 0.233
O6 O 0.280 0.234 0.412
O7 O 0.294 0.683 0.629
O8 O 0.436 0.661 0.405
O9 O 0.500 0.038 0.313